1.
Computed, not measured: a geometry-optimized Re2HgH structure at the PBE-GGA level of DFT.

a = 4.3349 Å, b = 4.3349 Å, c = 4.3349 Å
α = 60.00°, β = 60.00°, γ = 60.00°
Fractional positions:
H 0.0000 0.0000 0.0000
Re 0.2500 0.2500 0.2500
Re 0.7500 0.7500 0.7500
Hg 0.5000 0.5000 0.5000

Offset from the most stable computed form   0.633 eV per atom

---

2.
Computed, not measured: a geometry-optimized ReAg4 structure at the PBE-GGA level of DFT.

a = 5.0900 Å, b = 5.0900 Å, c = 5.0900 Å
α = 90.00°, β = 90.00°, γ = 90.00°
Last column: magnetic moment on the atom in μB.
Fractional positions:
Ag 0.5000 0.5000 0.0000  0.08
Ag 0.5000 0.0000 0.5000  0.08
Ag 0.0000 0.0000 0.0000  -0.01
Ag 0.0000 0.5000 0.5000  0.08
Re 0.5000 0.5000 0.5000  1.55

Offset from the most stable computed form   0.955 eV per atom
Energy of formation from the pure elements   1.650 eV per atom

---

3.
Computed, not measured: a geometry-optimized SrSc2Ru structure at the PBE-GGA level of DFT.

a = 10.3104 Å, b = 10.3104 Å, c = 10.3104 Å
α = 20.60°, β = 20.60°, γ = 20.60°
Fractional positions:
Sr 0.0000 0.0000 0.0000
Ru 0.5000 0.5000 0.5000
Sc 0.8821 0.8821 0.8821
Sc 0.1179 0.1179 0.1179

Offset from the most stable computed form   0.311 eV per atom
Energy of formation from the pure elements   0.109 eV per atom

---

4.
Computed, not measured: a geometry-optimized Hf2TiS5 structure at the PBE-GGA level of DFT.

a = 5.0178 Å, b = 6.3150 Å, c = 12.0100 Å
α = 90.00°, β = 90.00°, γ = 113.41°
Last column: magnetic moment on the atom in μB.
Fractional positions:
S 0.9523 0.9046 0.8762  -0.01
Hf 0.8421 0.6842 0.4475  0.05
Ti 0.2052 0.4104 0.2500  0.77
S 0.3383 0.6766 0.0753  0.00
Hf 0.1579 0.3158 0.9475  0.05
S 0.0477 0.0954 0.1238  -0.01
S 0.7437 0.4874 0.2500  -0.01
S 0.9523 0.9046 0.6238  -0.01
S 0.6617 0.3234 0.5753  0.00
Hf 0.1579 0.3158 0.5525  0.05
S 0.2563 0.5126 0.7500  -0.01
S 0.6617 0.3234 0.9247  0.00
S 0.0477 0.0954 0.3762  -0.01
S 0.3383 0.6766 0.4247  0.00
Hf 0.8421 0.6842 0.0525  0.05
Ti 0.7948 0.5896 0.7500  0.77

Energy relative to the elements, uncorrected   -1390 meV/atom

---

5.
Computed, not measured: a geometry-optimized Ni6B2P structure at the PBE-GGA level of DFT.

a = 6.0912 Å, b = 6.0912 Å, c = 6.0912 Å
α = 103.18°, β = 112.13°, γ = 113.28°
Fractional positions:
Ni 0.1892 0.2412 0.4303
B 0.5000 0.6202 0.1202
B 0.6544 0.0000 0.6544
P 0.0000 0.0000 0.0000
Ni 0.3133 0.9836 0.6703
P 0.0000 0.5000 0.5000
Ni 0.3133 0.6430 0.3297
Ni 0.1892 0.7588 0.9480
Ni 0.4744 0.2893 0.1851
Ni 0.8108 0.7588 0.5697
Ni 0.1042 0.2893 0.8149
Ni 0.8108 0.2412 0.0520
B 0.3456 0.0000 0.3456
Ni 0.6867 0.3570 0.6703
Ni 0.5256 0.7107 0.8149
Ni 0.6867 0.0164 0.3297
B 0.5000 0.3798 0.8798
Ni 0.8958 0.7107 0.1851

Energy of formation from the pure elements   -0.311 eV per atom

---

6.
Computed, not measured: a geometry-optimized V3GaRh structure at the PBE-GGA level of DFT.

a = 4.5470 Å, b = 4.5470 Å, c = 4.5470 Å
α = 90.00°, β = 90.00°, γ = 90.00°
Last column: magnetic moment on the atom in μB.
Fractional positions:
V 0.5000 0.0000 0.0000  0.33
Ga 0.5000 0.5000 0.5000  -0.02
V 0.0000 0.0000 0.5000  0.33
V 0.0000 0.5000 0.0000  0.33
Rh 0.0000 0.0000 0.0000  -0.02

Offset from the most stable computed form   0.000 eV per atom
Energy of formation from the pure elements   0.933 eV per atom

---

7.
Computed, not measured: a geometry-optimized TaMn2Os structure at the PBE-GGA level of DFT.

a = 6.8367 Å, b = 6.8367 Å, c = 5.5032 Å
α = 51.60°, β = 51.60°, γ = 90.00°
Last column: magnetic moment on the atom in μB.
Fractional positions:
Mn 0.8750 0.8942 0.7500  2.29
Ta 0.5000 0.5000 0.0000  -0.34
Ta 0.2500 0.7500 0.5000  -0.34
Mn 0.1058 0.6250 0.2500  2.29
Os 0.7500 0.2500 0.5000  -0.13
Mn 0.3750 0.3558 0.7500  2.31
Os 0.0000 0.0000 0.0000  -0.14
Mn 0.6442 0.1250 0.2500  2.31

Offset from the most stable computed form   0.639 eV per atom
Energy of formation from the pure elements   0.549 eV per atom

---

8.
Computed, not measured: a geometry-optimized AcNd2HgN structure at the PBE-GGA level of DFT.

a = 5.0525 Å, b = 5.0525 Å, c = 5.2972 Å
α = 90.00°, β = 90.00°, γ = 90.00°
Fractional positions:
N 0.0000 0.0000 0.9999
Ac 0.0000 0.0000 0.4999
Nd 0.0000 0.5000 0.9999
Nd 0.5000 0.0000 0.9999
Hg 0.5000 0.5000 0.5003

Energy relative to the elements, uncorrected   -689 meV/atom

---

Record-wise theoretical density values, in g/cm3: 16.55 7.78 3.90 5.37 7.80 5.75 13.00 8.97